# 1
! Zn5Hg12Se3 PBE optimized geometry; values from VASP
&SYSTEM
  ibrav = 0, nat = 80, ntyp = 3
/
ATOMIC_SPECIES
Se 78.96 Se.upf
Zn 65.41 Zn.upf
Hg 200.59 Hg.upf
CELL_PARAMETERS angstrom
-6.955 -11.104 5.619
-0.910 -0.523 -14.218
13.702 -0.504 3.907
ATOMIC_POSITIONS crystal
Se 0.750 0.375 0.125
Se 0.875 0.750 0.125
Se 0.375 0.750 0.625
Se 0.250 0.125 0.375
Se 0.875 0.125 0.250
Se 0.375 0.625 0.250
Se 0.625 0.375 0.750
Se 0.125 0.875 0.750
Se 0.750 0.875 0.625
Se 0.625 0.250 0.375
Se 0.125 0.250 0.875
Se 0.250 0.625 0.875
Zn 0.125 0.375 0.250
Zn 0.000 0.500 0.000
Zn 0.000 0.000 0.000
Zn 0.375 0.250 0.125
Zn 0.500 0.000 0.500
Zn 0.500 0.500 0.000
Zn 0.125 0.750 0.375
Zn 0.750 0.125 0.875
Zn 0.750 0.625 0.375
Zn 0.375 0.125 0.750
Zn 0.625 0.875 0.250
Zn 0.500 0.500 0.500
Zn 0.500 0.000 0.000
Zn 0.000 0.000 0.500
Zn 0.250 0.375 0.625
Zn 0.250 0.875 0.125
Zn 0.000 0.500 0.500
Zn 0.875 0.250 0.625
Zn 0.625 0.750 0.875
Zn 0.875 0.625 0.750
Hg 0.724 0.119 0.048
Hg 0.324 0.548 0.429
Hg 0.952 0.381 0.276
Hg 0.548 0.224 0.119
Hg 0.604 0.724 0.676
Hg 0.952 0.571 0.176
Hg 0.324 0.776 0.396
Hg 0.071 0.896 0.119
Hg 0.571 0.952 0.676
Hg 0.724 0.604 0.176
Hg 0.776 0.452 0.381
Hg 0.824 0.929 0.048
Hg 0.119 0.724 0.548
Hg 0.381 0.429 0.104
Hg 0.104 0.929 0.381
Hg 0.396 0.119 0.571
Hg 0.104 0.176 0.224
Hg 0.452 0.676 0.071
Hg 0.824 0.896 0.276
Hg 0.119 0.396 0.071
Hg 0.381 0.952 0.776
Hg 0.571 0.619 0.396
Hg 0.929 0.824 0.548
Hg 0.776 0.324 0.896
Hg 0.429 0.381 0.604
Hg 0.071 0.176 0.452
Hg 0.224 0.676 0.104
Hg 0.176 0.104 0.724
Hg 0.619 0.048 0.224
Hg 0.881 0.604 0.929
Hg 0.548 0.324 0.929
Hg 0.604 0.881 0.429
Hg 0.896 0.824 0.776
Hg 0.896 0.071 0.619
Hg 0.881 0.276 0.452
Hg 0.176 0.071 0.952
Hg 0.619 0.571 0.896
Hg 0.429 0.048 0.324
Hg 0.276 0.396 0.824
Hg 0.224 0.548 0.619
Hg 0.929 0.104 0.881
Hg 0.676 0.224 0.604
Hg 0.452 0.776 0.881
Hg 0.048 0.429 0.824
Hg 0.396 0.276 0.324
Hg 0.048 0.619 0.724
Hg 0.676 0.452 0.571
Hg 0.276 0.881 0.952
! uncorrected formation energy: 1.415 eV per formula unit
! density of states at the Fermi level: 8.34 states/eV/f.u.
! crystal system: cubic

***

# 2
! PmOsRu PBE optimized geometry; values from VASP
&SYSTEM
  ibrav = 0, nat = 3, ntyp = 3
/
ATOMIC_SPECIES
Ru 101.07 Ru.upf
Os 190.23 Os.upf
Pm 145.00 Pm.upf
CELL_PARAMETERS angstrom
-0.503 -4.320 0.504
2.549 0.091 3.320
-4.121 0.539 0.509
ATOMIC_POSITIONS crystal
Ru 0.167 0.333 0.667
Os 0.167 0.000 0.000
Pm 0.667 0.667 0.333
! energy relative to the lowest polymorph listed for this composition: 196 meV/atom
! density of states at the Fermi level: 2.91 states/eV/f.u.
! crystal system: hexagonal
! ΔE_f: 0.04 eV per atom

***

# 3
! FeAgP2S PBE optimized geometry; values from VASP
&SYSTEM
  ibrav = 0, nat = 5, ntyp = 4
/
ATOMIC_SPECIES
P 30.97 P.upf
S 32.06 S.upf
Fe 55.84 Fe.upf
Ag 107.87 Ag.upf
CELL_PARAMETERS angstrom
-3.017 1.238 3.464
0.042 -4.469 1.633
3.740 1.084 2.870
ATOMIC_POSITIONS crystal
P 0.000 0.500 0.000
P 0.500 0.000 0.000
S 0.000 0.000 0.500
Fe 0.500 0.500 0.500
Ag 0.000 0.000 0.000
! uncorrected formation energy: 7.099 eV per formula unit
! energy relative to the lowest polymorph listed for this composition: 959 meV/atom
! density of states at the Fermi level: 6.90 states/eV/f.u.
! crystal system: tetragonal

***

# 4
! NaGaAgPb PBE optimized geometry; values from VASP
&SYSTEM
  ibrav = 0, nat = 4, ntyp = 4
/
ATOMIC_SPECIES
Pb 207.20 Pb.upf
Na 22.99 Na.upf
Ga 69.72 Ga.upf
Ag 107.87 Ag.upf
CELL_PARAMETERS angstrom
5.043 0.000 0.000
2.522 4.368 0.000
2.522 1.456 4.118
ATOMIC_POSITIONS crystal
Pb 0.000 0.000 0.000
Na 0.750 0.750 0.750
Ga 0.500 0.500 0.500
Ag 0.250 0.250 0.250
! density of states at the Fermi level: 2.71 states/eV/f.u.
! crystal system: cubic
! ΔE_f: 0.03 eV per atom

***

# 5
! CeDy2InC PBE optimized geometry; values from VASP
&SYSTEM
  ibrav = 0, nat = 5, ntyp = 4
/
ATOMIC_SPECIES
Ce 140.12 Ce.upf
Dy 162.50 Dy.upf
In 114.82 In.upf
C 12.01 C.upf
CELL_PARAMETERS angstrom
4.899 0.000 0.000
0.000 4.964 0.000
0.000 0.000 4.964
ATOMIC_POSITIONS crystal
Ce 0.500 0.000 0.000
Dy 0.000 0.000 0.500
Dy 0.000 0.500 0.000
In 0.500 0.500 0.500
C 0.000 0.000 0.000
! density of states at the Fermi level: 5.14 states/eV/f.u.
! crystal system: tetragonal
! ΔE_f: -0.42 eV per atom

***

# 6
! CeHo8Tm4 PBE optimized geometry; values from VASP
&SYSTEM
  ibrav = 0, nat = 13, ntyp = 3
/
ATOMIC_SPECIES
Ce 140.12 Ce.upf
Ho 164.93 Ho.upf
Tm 168.93 Tm.upf
CELL_PARAMETERS angstrom
-6.302 0.385 -3.472
3.920 -6.038 -0.308
-1.257 -1.305 9.613
ATOMIC_POSITIONS crystal
Ce 0.000 0.500 0.500
Ho 0.559 0.779 0.338
Ho 0.441 0.221 0.662
Ho 0.508 0.254 0.309
Ho 0.945 0.199 0.691
Ho 0.492 0.746 0.691
Ho 0.945 0.746 0.691
Ho 0.055 0.254 0.309
Ho 0.055 0.801 0.309
Tm 0.000 0.000 0.000
Tm 0.000 0.500 0.000
Tm 0.500 0.500 0.000
Tm 0.500 0.000 0.000
! density of states at the Fermi level: 19.92 states/eV/f.u.
! crystal system: trigonal
! ΔE_f: 0.17 eV per atom

***

# 7
! BaHgIr2 PBE optimized geometry; values from VASP
&SYSTEM
  ibrav = 0, nat = 4, ntyp = 3
/
ATOMIC_SPECIES
Ir 192.22 Ir.upf
Hg 200.59 Hg.upf
Ba 137.33 Ba.upf
CELL_PARAMETERS angstrom
-2.488 4.037 1.612
-4.600 0.963 -1.731
-3.970 -0.540 3.005
ATOMIC_POSITIONS crystal
Ir 0.000 0.000 0.000
Ir 0.250 0.250 0.250
Hg 0.750 0.750 0.750
Ba 0.500 0.500 0.500
! density of states at the Fermi level: 6.63 states/eV/f.u.
! crystal system: cubic
! ΔE_f: 0.76 eV per atom

***

# 8
! TlAg2Hg PBE optimized geometry; values from VASP
&SYSTEM
  ibrav = 0, nat = 4, ntyp = 3
/
ATOMIC_SPECIES
Tl 204.38 Tl.upf
Hg 200.59 Hg.upf
Ag 107.87 Ag.upf
CELL_PARAMETERS angstrom
-3.862 3.181 -2.919
-0.561 -1.545 -5.555
-0.555 -1.698 5.511
ATOMIC_POSITIONS crystal
Tl 0.250 0.750 0.500
Hg 0.750 0.250 0.500
Ag 0.994 0.994 0.000
Ag 0.506 0.506 0.000
! density of states at the Fermi level: 1.39 states/eV/f.u.
! crystal system: orthorhombic
! ΔE_f: 0.16 eV per atom

***

# 9
! CrCuRe2 PBE optimized geometry; values from VASP
&SYSTEM
  ibrav = 0, nat = 4, ntyp = 3
/
ATOMIC_SPECIES
Cr 52.00 Cr.upf
Cu 63.55 Cu.upf
Re 186.21 Re.upf
CELL_PARAMETERS angstrom
4.619 -0.010 0.000
1.523 4.361 0.000
-3.071 -2.175 2.678
ATOMIC_POSITIONS crystal
Cr 0.250 0.750 0.500
Cu 0.750 0.250 0.500
Re 0.000 0.000 0.000
Re 0.500 0.500 0.000
! energy relative to the lowest polymorph listed for this composition: 50 meV/atom
! density of states at the Fermi level: 2.97 states/eV/f.u.
! crystal system: tetragonal
! ΔE_f: 0.27 eV per atom

***

# 10
! Rb6As2Pt PBE optimized geometry; values from VASP
&SYSTEM
  ibrav = 0, nat = 9, ntyp = 3
/
ATOMIC_SPECIES
Rb 85.47 Rb.upf
As 74.92 As.upf
Pt 195.08 Pt.upf
CELL_PARAMETERS angstrom
-3.477 5.005 0.117
-3.205 1.600 -4.931
-10.505 -3.631 1.884
ATOMIC_POSITIONS crystal
Rb 0.583 0.583 0.251
Rb 0.813 0.813 0.561
Rb 0.697 0.697 0.908
Rb 0.187 0.187 0.439
Rb 0.417 0.417 0.749
Rb 0.303 0.303 0.092
As 0.922 0.922 0.233
As 0.078 0.078 0.767
Pt 0.000 0.000 0.000
! density of states at the Fermi level: 5.95 states/eV/f.u.
! crystal system: trigonal
! ΔE_f: -0.26 eV per atom

***

# 11
! Ho2Zn3Cu12Au PBE optimized geometry; values from VASP
&SYSTEM
  ibrav = 0, nat = 18, ntyp = 4
/
ATOMIC_SPECIES
Ho 164.93 Ho.upf
Zn 65.41 Zn.upf
Cu 63.55 Cu.upf
Au 196.97 Au.upf
CELL_PARAMETERS angstrom
9.248 1.757 1.246
6.095 7.174 1.246
6.095 3.548 6.359
ATOMIC_POSITIONS crystal
Ho 0.641 0.641 0.641
Ho 0.359 0.359 0.359
Zn 0.500 0.000 0.000
Zn 0.000 0.500 0.000
Zn 0.000 0.000 0.500
Cu 0.418 0.418 0.799
Cu 0.876 0.876 0.443
Cu 0.443 0.876 0.876
Cu 0.799 0.418 0.418
Cu 0.876 0.443 0.876
Cu 0.418 0.799 0.418
Cu 0.582 0.582 0.201
Cu 0.124 0.124 0.557
Cu 0.557 0.124 0.124
Cu 0.201 0.582 0.582
Cu 0.124 0.557 0.124
Cu 0.582 0.201 0.582
Au 0.000 0.000 0.000
! density of states at the Fermi level: 7.30 states/eV/f.u.
! crystal system: trigonal
! ΔE_f: 0.09 eV per atom

***

# 12
! KNiSe PBE optimized geometry; values from VASP
&SYSTEM
  ibrav = 0, nat = 3, ntyp = 3
/
ATOMIC_SPECIES
Ni 58.69 Ni.upf
K 39.10 K.upf
Se 78.96 Se.upf
CELL_PARAMETERS angstrom
-1.174 0.758 4.957
-3.597 -1.668 -0.597
3.113 -2.282 1.086
ATOMIC_POSITIONS crystal
Ni 0.167 0.333 0.667
K 0.667 0.667 0.333
Se 0.167 0.000 0.000
! uncorrected formation energy: -1.683 eV per formula unit
! density of states at the Fermi level: 2.31 states/eV/f.u.
! crystal system: hexagonal